Record 1
Entry from Alexandria: a relaxed structure of Nd2PaCuS5 (PBE).

As for the magnetic moment: 4.4 μB per cell. The calculation puts the uncorrected formation energy at -1.61 eV per atom.

The space group is Cmc2_1 (No. 36) and the conventional cell measures 3.848, 16.587 and 12.126 Å, with angles of 90.00, 90.00 and 90.00 degrees. The asymmetric unit holds Nd at (0.000, 0.115, 0.000), Nd at (0.000, 0.116, 0.350), Pa at (0.000, 0.181, 0.681), Cu at (0.000, 0.450, 0.076), S at (0.000, 0.020, 0.671), S at (0.000, 0.303, 0.344), S at (0.000, 0.314, 0.018), S at (0.000, 0.345, 0.675) and S at (0.000, 0.494, 0.406).

---

Record 2
Entry from Alexandria: a relaxed structure of Sr2HfBeS5 (PBE).

As for the magnetic moment: 0.0 μB per cell. The calculation puts the uncorrected formation energy at -1.69 eV per atom.

The space group is Cmc2_1 (No. 36) and the conventional cell measures 3.822, 17.077 and 12.310 Å, with angles of 90.00, 90.00 and 90.00 degrees. The asymmetric unit holds Sr at (0.000, 0.113, 0.000), Sr at (0.000, 0.119, 0.644), Hf at (0.000, 0.200, 0.340), Be at (0.000, 0.435, 0.743), S at (0.000, 0.051, 0.335), S at (0.000, 0.296, 0.980), S at (0.000, 0.310, 0.696), S at (0.000, 0.346, 0.324) and S at (0.000, 0.495, 0.599).